{
  "formula": "Sr4ReBr",
  "functional": "PBE-GGA",
  "state": "relaxed",
  "lattice": [[-4.416, -4.927, -2.548], [-5.528, -2.154, 3.882], [-6.588, 1.792, -1.912]],
  "species": ["Sr", "Sr", "Sr", "Sr", "Re", "Br"],
  "frac_coords": [[0.879, 0.374, 0.374], [0.374, 0.374, 0.879], [0.374, 0.879, 0.374], [0.374, 0.374, 0.374], [0.000, 0.000, 0.000], [0.750, 0.750, 0.750]],
  "e_form_raw_ev_per_atom": 1.0187,
  "total_energy_ry_per_atom": -0.181
}